*one*
PBE ZrGaTe2I, relaxed; D(E_F) = 5.98 states/eV/cell; space group = P4/mmm; mass density = 5.9 g/cm3
1.0
-0.117 -5.360 -0.353
3.396 0.200 -4.159
4.132 -0.311 3.360
Te Zr Ga I
2 1 1 1
Direct
0.500 0.000 0.000 Te
0.000 0.500 0.000 Te
0.500 0.500 0.500 Zr
0.000 0.000 0.000 Ga
0.000 0.000 0.500 I

---

*two*
PBE ZrGaTe2I, relaxed; D(E_F) = 1.79 states/eV/cell; space group = P4/mmm; mass density = 4.9 g/cm3
1.0
-1.434 1.476 -5.249
4.900 -2.032 -1.910
-2.474 -5.221 -0.792
Te I Zr Ga
2 1 1 1
Direct
0.000 0.500 0.000 Te
0.500 0.000 0.000 Te
0.000 0.000 0.500 I
0.000 0.000 0.000 Zr
0.500 0.500 0.500 Ga

---

Least stable: *one*

---

*one*
PBE TlGaI4, relaxed; D(E_F) = 0.00 states/eV/cell; space group = P2_1/m; mass density = 4.4 g/cm3
1.0
7.150 -0.978 0.000
-4.644 7.796 0.000
0.000 0.000 11.401
Ga I Tl
2 8 2
Direct
0.898 0.092 0.750 Ga
0.102 0.908 0.250 Ga
0.121 0.743 0.431 I
0.879 0.257 0.931 I
0.282 0.130 0.750 I
0.461 0.265 0.250 I
0.121 0.743 0.069 I
0.718 0.870 0.250 I
0.879 0.257 0.569 I
0.539 0.735 0.750 I
0.939 0.615 0.750 Tl
0.061 0.385 0.250 Tl

---

*two*
PBE TlGaI4, relaxed; D(E_F) = 0.00 states/eV/cell; space group = P2_1/c; mass density = 4.6 g/cm3
1.0
8.246 0.000 0.000
0.000 8.275 0.042
0.000 1.586 16.384
I Ga Tl
16 4 4
Direct
0.245 0.425 0.467 I
0.660 0.990 0.159 I
0.141 0.861 0.091 I
0.745 0.575 0.033 I
0.611 0.577 0.778 I
0.255 0.425 0.967 I
0.641 0.139 0.409 I
0.859 0.139 0.909 I
0.889 0.577 0.278 I
0.840 0.990 0.659 I
0.755 0.575 0.533 I
0.340 0.010 0.841 I
0.389 0.423 0.222 I
0.160 0.010 0.341 I
0.111 0.423 0.722 I
0.359 0.861 0.591 I
0.359 0.246 0.360 Ga
0.641 0.754 0.640 Ga
0.859 0.754 0.140 Ga
0.141 0.246 0.860 Ga
0.014 0.255 0.140 Tl
0.514 0.745 0.360 Tl
0.986 0.745 0.860 Tl
0.486 0.255 0.640 Tl

---

Least stable: *one*

---

*one*
PBE Tl2Ga2I, relaxed; D(E_F) = 4.69 states/eV/cell; space group = P4/mbm; mass density = 7.3 g/cm3
1.0
9.005 0.000 0.000
0.000 9.005 0.000
0.000 0.000 3.787
Ga Tl I
4 4 2
Direct
0.894 0.394 0.500 Ga
0.394 0.106 0.500 Ga
0.606 0.894 0.500 Ga
0.106 0.606 0.500 Ga
0.691 0.191 0.000 Tl
0.809 0.691 0.000 Tl
0.309 0.809 0.000 Tl
0.191 0.309 0.000 Tl
0.500 0.500 0.000 I
0.000 0.000 0.000 I

---

*two*
PBE Tl2Ga2I, relaxed; D(E_F) = 4.17 states/eV/cell; space group = I4/mmm; mass density = 7.4 g/cm3
1.0
5.123 0.000 0.000
0.000 5.123 0.000
2.561 2.561 5.772
Ga Tl I
2 2 1
Direct
0.610 0.610 0.779 Ga
0.390 0.390 0.221 Ga
0.750 0.250 0.500 Tl
0.250 0.750 0.500 Tl
0.000 0.000 0.000 I

---

Least stable: *two*

---

*one*
PBE Tl2Ga2I, relaxed; D(E_F) = 4.10 states/eV/cell; space group = I4/mmm; mass density = 7.4 g/cm3
1.0
3.909 0.000 0.000
0.000 3.909 0.000
1.954 1.954 9.980
Tl Ga I
2 2 1
Direct
0.609 0.609 0.783 Tl
0.391 0.391 0.217 Tl
0.750 0.250 0.500 Ga
0.250 0.750 0.500 Ga
0.000 0.000 0.000 I

---

*two*
PBE Tl2Ga2I, relaxed; D(E_F) = 3.99 states/eV/cell; space group = P4/mbm; mass density = 7.7 g/cm3
1.0
-7.318 -4.081 -1.621
1.994 -0.281 -8.294
1.831 -3.506 0.559
Tl I Ga
4 2 4
Direct
0.190 0.690 0.500 Tl
0.690 0.810 0.500 Tl
0.810 0.310 0.500 Tl
0.310 0.190 0.500 Tl
0.000 0.000 0.000 I
0.500 0.500 0.000 I
0.613 0.113 0.000 Ga
0.887 0.613 0.000 Ga
0.387 0.887 0.000 Ga
0.113 0.387 0.000 Ga

---

Least stable: *one*

---

*one*
PBE Tl3GaI, relaxed; D(E_F) = 5.40 states/eV/cell; space group = Pm-3m; mass density = 5.2 g/cm3
1.0
-2.101 4.202 -4.329
-0.623 -4.711 -4.270
-6.001 -0.982 1.959
I Ga Tl
1 1 3
Direct
0.000 0.000 0.000 I
0.500 0.500 0.500 Ga
0.500 0.000 0.000 Tl
0.000 0.500 0.000 Tl
0.000 0.000 0.500 Tl

---

*two*
PBE Tl3GaI, relaxed; D(E_F) = 2.41 states/eV/cell; space group = Pm-3m; mass density = 7.4 g/cm3
1.0
-3.268 -2.086 4.113
3.401 -4.495 0.423
3.114 2.720 3.854
Tl Ga I
3 1 1
Direct
0.500 0.000 0.000 Tl
0.000 0.000 0.500 Tl
0.000 0.500 0.000 Tl
0.000 0.000 0.000 Ga
0.500 0.500 0.500 I

---

Least stable: *one*

---

*one*
PBE TlGaI3, relaxed; D(E_F) = 0.00 states/eV/cell; space group = P1; mass density = 4.7 g/cm3
1.0
5.208 -0.189 -0.017
-0.099 11.012 0.094
0.015 3.015 8.071
I Tl Ga
6 2 2
Direct
0.461 0.375 0.827 I
0.018 0.017 0.993 I
0.495 0.821 0.665 I
0.967 0.576 0.015 I
0.428 0.209 0.373 I
0.953 0.614 0.471 I
0.938 0.258 0.605 Tl
0.515 0.804 0.083 Tl
0.936 0.244 0.138 Ga
0.714 0.603 0.740 Ga

---

*two*
PBE TlGaI3, relaxed; D(E_F) = 0.00 states/eV/cell; space group = P2_1/c; mass density = 5.0 g/cm3
1.0
9.075 0.000 0.000
0.000 8.154 -0.733
0.000 0.726 11.727
Ga I Tl
4 12 4
Direct
0.595 0.438 0.058 Ga
0.095 0.062 0.442 Ga
0.905 0.938 0.558 Ga
0.405 0.562 0.942 Ga
0.178 0.360 0.922 I
0.803 0.665 0.461 I
0.303 0.835 0.039 I
0.697 0.165 0.961 I
0.500 0.630 0.737 I
0.500 0.370 0.263 I
0.000 0.130 0.237 I
0.678 0.140 0.578 I
0.197 0.335 0.539 I
0.822 0.640 0.078 I
0.322 0.860 0.422 I
0.000 0.870 0.763 I
0.123 0.540 0.273 Tl
0.377 0.040 0.773 Tl
0.623 0.960 0.227 Tl
0.877 0.460 0.727 Tl

---

*three*
PBE TlGaI3, relaxed; D(E_F) = 1.49 states/eV/cell; space group = Pm-3m; mass density = 5.5 g/cm3
1.0
5.814 0.000 0.000
0.000 5.814 0.000
0.000 0.000 5.814
I Tl Ga
3 1 1
Direct
0.000 0.000 0.500 I
0.000 0.500 0.000 I
0.500 0.000 0.000 I
0.500 0.500 0.500 Tl
0.000 0.000 0.000 Ga

---

Least stable: *three*